Entry 1:
# Dy8HoSb6

Crystalline Dy8HoSb6 at its relaxed geometry (PBE-GGA, Alexandria via LeMat-Bulk).

## Properties
For the uncorrected formation energy, the calculation gives -1086 kJ/mol of formula units. The calculation puts the density at 7960 kg/m³.

a b c (Å): 7.9392 7.9392 25.1717
angles (deg): 90.00 90.00 120.00
Space group R-3 (No. 148, hexagonal axes)
One atom of each set of equivalent atoms:
Dy 0.0000 0.0000 0.1667 [6 per cell]
Dy 0.0003 0.3342 0.3782 [18 per cell]
Ho 0.0000 0.0000 0.5000 [3 per cell]
Sb 0.0002 0.3326 0.5667 [18 per cell]


Entry 2:
# Cs2TlIn2

Crystalline Cs2TlIn2 at its relaxed geometry (PBE-GGA, Alexandria via LeMat-Bulk).

## Properties
For the calculated formation energy, the calculation gives 0.27 eV/atom. The calculation puts the density at 4950 kg/m³.

a b c (Å): 5.281 5.281 16.838
angles (deg): 90.00 90.00 90.00
Space group I4/mmm (No. 139)
One atom of each set of equivalent atoms:
Cs 0.000 0.500 0.250 [4 per cell]
Tl 0.000 0.000 0.000 [2 per cell]
In 0.000 0.000 0.415 [4 per cell]